No. 1
# Ca2HfO4

A crystal of Ca2HfO4 relaxed with PBEsol (meta-GGA SCAN, Alexandria).

Cell lengths 3.2441, 5.6854, 9.7804 Å; angles 90.00, 90.00, 90.00 degrees
Element x y z (fractional)
O1 0.0000 0.1381 0.8061
O2 0.5000 0.2728 0.5444
O3 0.5000 0.2272 0.0444
O4 0.5000 0.7728 0.9556
O5 0.0000 0.6381 0.6939
O6 0.0000 0.3619 0.3061
O7 0.5000 0.7272 0.4556
O8 0.0000 0.8619 0.1939
Ca1 0.5000 0.5671 0.1805
Ca2 0.5000 0.9329 0.6805
Ca3 0.5000 0.0671 0.3195
Ca4 0.5000 0.4329 0.8195
Hf1 0.0000 0.0000 0.0000
Hf2 0.0000 0.5000 0.5000

- Electronic total energy: -263.82 eV for the cell shown

No. 2
# CoAs5

A crystal of CoAs5 relaxed with PBEsol (meta-GGA SCAN, Alexandria).

Cell lengths 2.8364, 2.8364, 12.6078 Å; angles 90.00, 90.00, 90.00 degrees
Each line ends with the local moment (μB).
Element x y z (fractional)
As1 0.0000 0.0000 0.5000  0.00
As2 0.0000 0.0000 0.8834  0.00
As3 0.0000 0.0000 0.1166  0.00
As4 0.5000 0.5000 0.3225  0.00
As5 0.5000 0.5000 0.6775  0.00
Co1 0.5000 0.5000 0.0000  0.39

- Formation energy from the elements: 0.301 eV/atom
- ΔE to the lowest computed polymorph: 0.000 eV per atom